(1)
The following is a DFT calculation (PBE) of a geometry-optimized Gd2ThAl structure.

## Properties
Mass density in g/cm³: 8.5
Calculated volume in A^3/atom: 28.0

abc: 3.554 3.554 8.866
angles: 90.00 90.00 90.00
Space group P4/mmm (No. 123)
One atom of each set of equivalent atoms:
Gd1 0.000 0.000 0.218 (multiplicity 2)
Th1 0.500 0.500 0.500 (multiplicity 1)
Al1 0.500 0.500 0.000 (multiplicity 1)


(2)
The following is a DFT calculation (PBE) of a geometry-optimized Gd2ThAl structure.

## Properties
Mass density in g/cm³: 8.5
Calculated volume in A^3/atom: 27.9

abc: 4.794 4.794 4.851
angles: 90.00 90.00 90.00
Space group P4/mmm (No. 123)
One atom of each set of equivalent atoms:
Gd1 0.000 0.500 0.000 (multiplicity 2)
Th1 0.000 0.000 0.500 (multiplicity 1)
Al1 0.500 0.500 0.500 (multiplicity 1)


(3)
The following is a DFT calculation (PBE) of a geometry-optimized GdTh2Al structure.

## Properties
Mass density in g/cm³: 9.5
Calculated volume in A^3/atom: 28.4

abc: 7.690 7.690 7.690
angles: 90.00 90.00 90.00
Space group Fm-3m (No. 225)
One atom of each set of equivalent atoms:
Gd1 0.000 0.000 0.000 (multiplicity 4)
Th1 0.250 0.250 0.250 (multiplicity 8)
Al1 0.000 0.000 0.500 (multiplicity 4)


(4)
The following is a DFT calculation (PBE) of a geometry-optimized GdThAl2 structure.

## Properties
Mass density in g/cm³: 7.4
Calculated volume in A^3/atom: 24.8

abc: 3.415 3.415 8.489
angles: 90.00 90.00 90.00
Space group P4/mmm (No. 123)
One atom of each set of equivalent atoms:
Gd1 0.000 0.000 0.000 (multiplicity 1)
Th1 0.000 0.000 0.500 (multiplicity 1)
Al1 0.500 0.500 0.243 (multiplicity 2)


(5)
The following is a DFT calculation (PBE) of a geometry-optimized GdThTiAl structure.

## Properties
Mass density in g/cm³: 7.6
Calculated volume in A^3/atom: 25.3

abc: 7.397 7.397 7.397
angles: 90.00 90.00 90.00
Space group F-43m (No. 216)
One atom of each set of equivalent atoms:
Gd1 0.000 0.000 0.000 (multiplicity 4)
Th1 0.000 0.000 0.500 (multiplicity 4)
Ti1 0.250 0.250 0.750 (multiplicity 4)
Al1 0.250 0.250 0.250 (multiplicity 4)


(6)
The following is a DFT calculation (PBE) of a geometry-optimized GdThAlTl structure.

## Properties
Mass density in g/cm³: 9.5
Calculated volume in A^3/atom: 27.2

abc: 7.582 7.582 7.582
angles: 90.00 90.00 90.00
Space group F-43m (No. 216)
One atom of each set of equivalent atoms:
Gd1 0.000 0.000 0.000 (multiplicity 4)
Th1 0.000 0.000 0.500 (multiplicity 4)
Al1 0.250 0.250 0.250 (multiplicity 4)
Tl1 0.250 0.250 0.750 (multiplicity 4)


(7)
The following is a DFT calculation (PBE) of a geometry-optimized GdYThAl structure.

## Properties
Mass density in g/cm³: 7.6
Calculated volume in A^3/atom: 27.6

abc: 7.619 7.619 7.619
angles: 90.00 90.00 90.00
Space group F-43m (No. 216)
One atom of each set of equivalent atoms:
Gd1 0.000 0.000 0.000 (multiplicity 4)
Y1 0.250 0.250 0.250 (multiplicity 4)
Th1 0.250 0.250 0.750 (multiplicity 4)
Al1 0.000 0.000 0.500 (multiplicity 4)


(8)
The following is a DFT calculation (PBE) of a geometry-optimized GdTiAl2 structure.

## Properties
Mass density in g/cm³: 5.5
Calculated volume in A^3/atom: 19.6

abc: 3.091 3.091 8.200
angles: 90.00 90.00 90.00
Space group P4/mmm (No. 123)
One atom of each set of equivalent atoms:
Gd1 0.000 0.000 0.000 (multiplicity 1)
Ti1 0.000 0.000 0.500 (multiplicity 1)
Al1 0.500 0.500 0.281 (multiplicity 2)


(9)
The following is a DFT calculation (PBE) of a geometry-optimized GdTiAl2 structure.

## Properties
Mass density in g/cm³: 5.4
Calculated volume in A^3/atom: 19.8

abc: 6.820 6.820 6.820
angles: 90.00 90.00 90.00
Space group Fm-3m (No. 225)
One atom of each set of equivalent atoms:
Gd1 0.000 0.000 0.000 (multiplicity 4)
Ti1 0.000 0.000 0.500 (multiplicity 4)
Al1 0.250 0.250 0.250 (multiplicity 8)


(10)
The following is a DFT calculation (PBE) of a geometry-optimized GdTiAl2 structure.

## Properties
Mass density in g/cm³: 5.2
Calculated volume in A^3/atom: 20.5

abc: 3.1536 3.1536 28.6088
angles: 90.00 90.00 120.00
Space group R-3m (No. 166, hexagonal axes)
One atom of each set of equivalent atoms:
Gd1 0.0000 0.0000 0.0000 (multiplicity 3)
Ti1 0.0000 0.0000 0.5000 (multiplicity 3)
Al1 0.0000 0.0000 0.2418 (multiplicity 6)


(11)
The following is a DFT calculation (PBE) of a geometry-optimized GdTiAl4 structure.

## Properties
Mass density in g/cm³: 4.7
Calculated volume in A^3/atom: 18.4

abc: 7.613 7.613 7.613
angles: 90.00 90.00 90.00
Space group F-43m (No. 216)
One atom of each set of equivalent atoms:
Gd1 0.000 0.000 0.000 (multiplicity 4)
Ti1 0.250 0.250 0.750 (multiplicity 4)
Al1 0.125 0.125 0.375 (multiplicity 16)


(12)
The following is a DFT calculation (PBE) of a geometry-optimized GdTmTiAl structure.

## Properties
Mass density in g/cm³: 7.0
Calculated volume in A^3/atom: 23.9

abc: 7.254 7.254 7.254
angles: 90.00 90.00 90.00
Space group F-43m (No. 216)
One atom of each set of equivalent atoms:
Gd1 0.000 0.000 0.000 (multiplicity 4)
Tm1 0.000 0.000 0.500 (multiplicity 4)
Ti1 0.250 0.250 0.250 (multiplicity 4)
Al1 0.250 0.250 0.750 (multiplicity 4)


Number 1: formation enthalpy at 0 K -0.173 eV per atom. Number 2: formation enthalpy at 0 K -0.147 eV per atom. Number 3: formation enthalpy at 0 K 0.027 eV per atom. Number 4: formation enthalpy at 0 K -0.313 eV per atom. Number 5: formation enthalpy at 0 K 0.012 eV per atom. Number 6: formation enthalpy at 0 K -0.203 eV per atom. Number 7: formation enthalpy at 0 K -0.039 eV per atom. Number 8: formation enthalpy at 0 K -0.313 eV per atom. Number 9: formation enthalpy at 0 K -0.218 eV per atom. Number 10: formation enthalpy at 0 K -0.041 eV per atom. Number 11: formation enthalpy at 0 K -0.372 eV per atom. Number 12: formation enthalpy at 0 K -0.055 eV per atom.